(1)
First-principles (PBE-GGA) data for crystalline CaTlRu3 at its relaxed geometry, as listed in Alexandria.

The calculation puts the energy above the lowest structure with this stoichiometry at 0.000 eV/atom. For the density, the calculation gives 7.12 g/cm3. The calculation puts the total energy at -24.0 eV per formula unit. For the energy of formation, the calculation gives 8.2 eV/f.u. The crystal system is cubic.

The structure in CIF format:
```
data_CaTlRu3
_chemical_formula_sum 'Ca1 Tl1 Ru3'
_cell_length_a 5.0352
_cell_length_b 5.0352
_cell_length_c 5.0352
_cell_angle_alpha 90.00
_cell_angle_beta 90.00
_cell_angle_gamma 90.00
_symmetry_space_group_name_H-M 'P m -3 m'
_symmetry_Int_Tables_number 221
_symmetry_space_group_name_Hall '-P 4 2 3'
loop_
_atom_site_label
_atom_site_fract_x
_atom_site_fract_y
_atom_site_fract_z
Ca1 0.0000 0.0000 0.0000
Tl1 0.5000 0.5000 0.5000
Ru1 0.0000 0.5000 0.5000
```


(2)
First-principles (PBE-GGA) data for crystalline CaTlV2Ru at its relaxed geometry, as listed in Alexandria.

For the density, the calculation gives 5.72 g/cm3. The calculation puts the total energy at -21.5 eV per formula unit. For the energy of formation, the calculation gives 10.4 eV/f.u. The crystal system is tetragonal.

The structure in CIF format:
```
data_CaTlV2Ru
_chemical_formula_sum 'Ca1 Tl1 V2 Ru1'
_cell_length_a 4.8999
_cell_length_b 4.8999
_cell_length_c 5.4078
_cell_angle_alpha 90.00
_cell_angle_beta 90.00
_cell_angle_gamma 90.00
_symmetry_space_group_name_H-M 'P 4/m m m'
_symmetry_Int_Tables_number 123
_symmetry_space_group_name_Hall '-P 4 2'
loop_
_atom_site_label
_atom_site_fract_x
_atom_site_fract_y
_atom_site_fract_z
Ca1 0.0000 0.0000 0.0000
Tl1 0.0000 0.0000 0.5000
V1 0.0000 0.5000 0.5000
Ru1 0.5000 0.5000 0.0000
```


(3)
First-principles (PBE-GGA) data for crystalline Ca2ZrTlRu at its relaxed geometry, as listed in Alexandria.

For the density, the calculation gives 4.58 g/cm3. The calculation puts the total energy at -18.2 eV per formula unit. For the energy of formation, the calculation gives 6.0 eV/f.u. The crystal system is tetragonal.

The structure in CIF format:
```
data_Ca2ZrTlRu
_chemical_formula_sum 'Ca2 Zr1 Tl1 Ru1'
_cell_length_a 5.6076
_cell_length_b 5.6076
_cell_length_c 5.4927
_cell_angle_alpha 90.00
_cell_angle_beta 90.00
_cell_angle_gamma 90.00
_symmetry_space_group_name_H-M 'P 4/m m m'
_symmetry_Int_Tables_number 123
_symmetry_space_group_name_Hall '-P 4 2'
loop_
_atom_site_label
_atom_site_fract_x
_atom_site_fract_y
_atom_site_fract_z
Ca1 0.0000 0.5000 0.0000
Zr1 0.0000 0.0000 0.5000
Tl1 0.0000 0.0000 0.0000
Ru1 0.5000 0.5000 0.5000
```


(4)
First-principles (PBE-GGA) data for crystalline CaTm5Ru4 at its relaxed geometry, as listed in Alexandria.

For the density, the calculation gives 9.71 g/cm3. The calculation puts the total energy at -65.3 eV per formula unit. For the energy of formation, the calculation gives -3.8 eV/f.u. The crystal system is tetragonal.

The structure in CIF format:
```
data_CaTm5Ru4
_chemical_formula_sum 'Ca1 Tm5 Ru4'
_cell_length_a 3.3890
_cell_length_b 3.3890
_cell_length_c 19.1932
_cell_angle_alpha 90.00
_cell_angle_beta 90.00
_cell_angle_gamma 90.00
_symmetry_space_group_name_H-M 'P 4/m m m'
_symmetry_Int_Tables_number 123
_symmetry_space_group_name_Hall '-P 4 2'
loop_
_atom_site_label
_atom_site_fract_x
_atom_site_fract_y
_atom_site_fract_z
Ca1 0.0000 0.0000 0.0000
Tm1 0.5000 0.5000 0.1563
Tm2 0.5000 0.5000 0.3276
Tm3 0.5000 0.5000 0.5000
Ru1 0.0000 0.0000 0.2341
Ru2 0.0000 0.0000 0.4129
```


(5)
First-principles (PBE-GGA) data for crystalline CaTmRu4 at its relaxed geometry, as listed in Alexandria.

For the density, the calculation gives 9.56 g/cm3. The calculation puts the total energy at -44.3 eV per formula unit. For the energy of formation, the calculation gives -0.7 eV/f.u. The crystal system is cubic.

The structure in CIF format:
```
data_CaTmRu4
_chemical_formula_sum 'Ca4 Tm4 Ru16'
_cell_length_a 7.5242
_cell_length_b 7.5242
_cell_length_c 7.5242
_cell_angle_alpha 90.00
_cell_angle_beta 90.00
_cell_angle_gamma 90.00
_symmetry_space_group_name_H-M 'F -4 3 m'
_symmetry_Int_Tables_number 216
_symmetry_space_group_name_Hall 'F -4 2 3'
loop_
_atom_site_label
_atom_site_fract_x
_atom_site_fract_y
_atom_site_fract_z
Ca1 0.0000 0.0000 0.0000
Tm1 0.2500 0.2500 0.2500
Ru1 0.1249 0.1249 0.6249
```


(6)
First-principles (PBE-GGA) data for crystalline CaTm2Ru at its relaxed geometry, as listed in Alexandria.

The calculation puts the energy above the lowest structure with this stoichiometry at 0.000 eV/atom. For the density, the calculation gives 7.33 g/cm3. The calculation puts the total energy at -21.3 eV per formula unit. For the energy of formation, the calculation gives -1.1 eV/f.u. The crystal system is tetragonal.

The structure in CIF format:
```
data_CaTm2Ru
_chemical_formula_sum 'Ca1 Tm2 Ru1'
_cell_length_a 3.4152
_cell_length_b 3.4152
_cell_length_c 9.3019
_cell_angle_alpha 90.00
_cell_angle_beta 90.00
_cell_angle_gamma 90.00
_symmetry_space_group_name_H-M 'P 4/m m m'
_symmetry_Int_Tables_number 123
_symmetry_space_group_name_Hall '-P 4 2'
loop_
_atom_site_label
_atom_site_fract_x
_atom_site_fract_y
_atom_site_fract_z
Ca1 0.0000 0.0000 0.0000
Tm1 0.5000 0.5000 0.3272
Ru1 0.0000 0.0000 0.5000
```


(7)
First-principles (PBE-GGA) data for crystalline CaTm2Ru at its relaxed geometry, as listed in Alexandria.

The calculation puts the energy above the lowest structure with this stoichiometry at 0.177 eV/atom. For the density, the calculation gives 6.43 g/cm3. The calculation puts the total energy at -20.6 eV per formula unit. For the energy of formation, the calculation gives -0.4 eV/f.u. The crystal system is trigonal.

The structure in CIF format:
```
data_CaTm2Ru
_chemical_formula_sum 'Ca3 Tm6 Ru3'
_cell_length_a 3.9617
_cell_length_b 3.9617
_cell_length_c 27.3040
_cell_angle_alpha 90.00
_cell_angle_beta 90.00
_cell_angle_gamma 120.00
_symmetry_space_group_name_H-M 'R -3 m'
_symmetry_Int_Tables_number 166
_symmetry_space_group_name_Hall '-R 3 2"'
loop_
_atom_site_label
_atom_site_fract_x
_atom_site_fract_y
_atom_site_fract_z
Ca1 0.0000 0.0000 0.0000
Tm1 0.0000 0.0000 0.2190
Ru1 0.0000 0.0000 0.5000
```


(8)
First-principles (PBE-GGA) data for crystalline CaTm3Ru at its relaxed geometry, as listed in Alexandria.

For the density, the calculation gives 6.97 g/cm3. The calculation puts the total energy at -25.6 eV per formula unit. For the energy of formation, the calculation gives -0.9 eV/f.u. The crystal system is cubic.

The structure in CIF format:
```
data_CaTm3Ru
_chemical_formula_sum 'Ca1 Tm3 Ru1'
_cell_length_a 5.3648
_cell_length_b 5.3648
_cell_length_c 5.3648
_cell_angle_alpha 90.00
_cell_angle_beta 90.00
_cell_angle_gamma 90.00
_symmetry_space_group_name_H-M 'P m -3 m'
_symmetry_Int_Tables_number 221
_symmetry_space_group_name_Hall '-P 4 2 3'
loop_
_atom_site_label
_atom_site_fract_x
_atom_site_fract_y
_atom_site_fract_z
Ca1 0.0000 0.0000 0.0000
Tm1 0.0000 0.5000 0.5000
Ru1 0.5000 0.5000 0.5000
```


Question: The highest energy of formation belongs to which entry?
Answer: CaTlV2Ru


Question: What is the formula in the second record?
Answer: CaTlV2Ru


Question: Among the records above, which one has the highest energy of formation?
Answer: CaTlV2Ru